Entry from Alexandria via LeMat-Bulk: a relaxed PRh2Au crystal (PBE).

abc: 2.7796 2.7796 9.3086
angles: 90.00 90.00 119.19
Last column: nearest neighbours and their distance in Å.
Fractional positions:
1 Rh 0.5000 0.5000 0.7649  8 Rh 2.72-2.81, 2 Au 2.81
2 Rh 0.0000 0.0000 0.0145  2 P 2.35
3 P 0.5000 0.5000 0.2169  2 Rh 2.35
4 Au 0.0000 0.0000 0.5038  6 Au 2.78-2.81, 2 Rh 2.81, 2 P 3.02

=====

Entry from Alexandria via LeMat-Bulk: a relaxed P2RhAu crystal (PBE).

abc: 3.2747 3.2754 5.8205
angles: 90.00 90.00 90.00
Last column: nearest neighbours and their distance in Å.
Fractional positions:
1 Au 0.5000 0.5000 0.7500  8 P 2.89, 2 Rh 2.91
2 P 0.0000 0.0000 0.4519  1 P 2.35, 4 Rh 2.60
3 P 0.0000 0.0000 0.0481  1 P 2.35, 4 Rh 2.60
4 Rh 0.5000 0.5000 0.2500  8 P 2.60

=====

Entry from Alexandria via LeMat-Bulk: a relaxed PRhAu2 crystal (PBE).

abc: 4.8305 4.8305 3.0617
angles: 90.00 90.00 112.80
Last column: nearest neighbours and their distance in Å.
Fractional positions:
1 Au 0.0000 0.5000 0.0000  2 Au 2.67, 4 P 2.86, 4 Rh 2.86
2 Au 0.5000 0.0000 0.0000  2 Au 2.67, 4 P 2.86, 4 Rh 2.86
3 P 0.0000 0.0000 0.5000  2 Rh 2.67, 8 Au 2.86
4 Rh 0.5000 0.5000 0.5000  2 P 2.67, 8 Au 2.86

=====

Entry from Alexandria via LeMat-Bulk: a relaxed PRhAu2 crystal (PBE).

abc: 3.8363 3.8363 4.4628
angles: 90.00 90.00 90.00
Last column: nearest neighbours and their distance in Å.
Fractional positions:
1 P 0.5000 0.5000 0.5000  4 Rh 2.71, 8 Au 2.94
2 Rh 0.0000 0.0000 0.5000  4 P 2.71, 8 Au 2.94
3 Au 0.0000 0.5000 0.0000  4 Au 2.71, 4 P 2.94, 4 Rh 2.94
4 Au 0.5000 0.0000 0.0000  4 Au 2.71, 4 P 2.94, 4 Rh 2.94

=====

Entry from Alexandria via LeMat-Bulk: a relaxed PRh2Au crystal (PBE).

abc: 4.2645 3.1518 4.9529
angles: 80.62 90.00 90.00
Last column: nearest neighbours and their distance in Å.
Fractional positions:
1 Rh 0.0000 0.0012 0.8970  2 P 2.28
2 Rh 0.5000 0.1628 0.2468  2 P 2.23-2.26
3 P 0.5000 0.7390 0.9197  4 Rh 2.23-2.28
4 Au 0.0000 0.5970 0.4365  7 Rh 2.71-2.84

=====

Entry from Alexandria via LeMat-Bulk: a relaxed P2RhAu crystal (PBE).

abc: 3.7216 3.7216 6.0684
angles: 91.35 91.35 70.00
Last column: nearest neighbours and their distance in Å.
Fractional positions:
1 P 0.3802 0.3802 0.6168  1 P 2.30, 1 Au 2.34, 3 Rh 2.37-2.42
2 P 0.1198 0.1198 0.8832  1 P 2.30, 1 Au 2.34, 3 Rh 2.37-2.42
3 Rh 0.7500 0.7500 0.7500  6 P 2.37-2.42
4 Au 0.2500 0.2500 0.2500  2 P 2.34

=====

Entry from Alexandria via LeMat-Bulk: a relaxed PRh2Au crystal (PBE).

abc: 3.4593 2.9764 6.1431
angles: 75.48 90.00 90.00
Last column: nearest neighbours and their distance in Å.
Fractional positions:
1 Rh 0.0000 0.8563 0.2915  2 P 2.26
2 Rh 0.0000 0.1437 0.7085  2 P 2.26
3 P 0.5000 0.0000 0.5000  4 Rh 2.26
4 Au 0.5000 0.5000 0.0000  8 Rh 2.85-2.88, 2 Au 2.98, 2 P 3.06

=====

Entry from Alexandria via LeMat-Bulk: a relaxed PRh2Au crystal (PBE).

abc: 6.8554 6.8554 5.5359
angles: 51.74 51.74 90.00
Last column: nearest neighbours and their distance in Å.
Fractional positions:
1 Rh 0.1904 0.6250 0.2500  2 P 2.23
2 Rh 0.8750 0.8096 0.7500  2 P 2.23
3 Rh 0.3750 0.4404 0.7500  2 P 2.23
4 Rh 0.5596 0.1250 0.2500  2 P 2.23
5 P 0.5000 0.5000 0.0000  4 Rh 2.23
6 P 0.2500 0.7500 0.5000  4 Rh 2.23
7 Au 0.7500 0.2500 0.5000  2 P 2.67, 8 Rh 2.84-2.93
8 Au 0.0000 0.0000 0.0000  2 P 2.67, 8 Rh 2.84-2.93

=====

| no. | formation energy from the elements (eV/f.u.) |
| --- | --- |
| 1 | 0.884 |
| 2 | 0.409 |
| 3 | 1.231 |
| 4 | 1.201 |
| 5 | -0.380 |
| 6 | -0.475 |
| 7 | -0.824 |
| 8 | -0.904 |